(1)
## LiZnFeTc (PBE)

Data for LiZnFeTc after structural relaxation.

The calculation puts the formation enthalpy at 0 K at 0.060 eV per atom.

The space group is F-43m (No. 216) and the conventional cell measures 5.785, 5.785 and 5.785 Å, with angles of 90.00, 90.00 and 90.00 degrees. The inequivalent atoms are Li at (0.000, 0.000, 0.000), Zn at (0.250, 0.250, 0.750), Fe at (0.000, 0.000, 0.500) and Tc at (0.250, 0.250, 0.250).

(2)
## Li2FeTe (PBE)

Data for Li2FeTe after structural relaxation.

The formation energy from raw total energies is -17.37 kJ per mole of atoms.

The space group is I-4m2 (No. 119) and the conventional cell measures 3.996, 3.996 and 7.652 Å, with angles of 90.00, 90.00 and 90.00 degrees. The inequivalent atoms are Li at (0.000, 0.000, 0.000), Li at (0.000, 0.500, 0.250), Fe at (0.000, 0.500, 0.750) and Te at (0.000, 0.000, 0.500).

(3)
## Li2FeTe (PBE)

Data for Li2FeTe after structural relaxation.

The formation energy from raw total energies is -15.56 kJ per mole of atoms.

The space group is P4/mmm (No. 123) and the conventional cell measures 3.978, 3.978 and 4.109 Å, with angles of 90.00, 90.00 and 90.00 degrees. The inequivalent atoms are Li at (0.000, 0.500, 0.000), Fe at (0.000, 0.000, 0.500) and Te at (0.500, 0.500, 0.500).

(4)
## LiFe3Te (PBE)

Data for LiFe3Te after structural relaxation.

The energy above the most stable polymorph in this dataset comes out at 0 meV per atom. The formation energy from raw total energies is 84.34 kJ per mole of atoms.

The space group is Pm-3m (No. 221) and the conventional cell measures 4.190, 4.190 and 4.190 Å, with angles of 90.00, 90.00 and 90.00 degrees. The inequivalent atoms are Li at (0.000, 0.000, 0.000), Fe at (0.000, 0.000, 0.500) and Te at (0.500, 0.500, 0.500).

(5)
## Li4FeTe (PBE)

Data for Li4FeTe after structural relaxation.

The formation energy from raw total energies is 15.19 kJ per mole of atoms.

The space group is F-43m (No. 216) and the conventional cell measures 7.366, 7.366 and 7.366 Å, with angles of 90.00, 90.00 and 90.00 degrees. The inequivalent atoms are Li at (0.125, 0.125, 0.125), Fe at (0.000, 0.000, 0.500) and Te at (0.250, 0.250, 0.750).

(6)
## Li2FeTe (PBE)

Data for Li2FeTe after structural relaxation.

The formation energy from raw total energies is 3.99 kJ per mole of atoms.

The space group is Pm (No. 6) and the conventional cell measures 3.109, 4.386 and 5.451 Å, with angles of 90.00, 101.21 and 90.00 degrees. The inequivalent atoms are Li at (0.000, 0.000, 0.000), Li at (0.258, 0.500, 0.688), Fe at (0.660, 0.000, 0.489) and Te at (0.586, 0.500, 0.230).